Arrangement i

VASP calculation (PBE) on crystalline ZnCdTeO at its relaxed geometry.

Cell: 3.643 3.643 13.651 Å, 90.00 90.00 120.00°
Fractional coordinates of all 8 atoms:
Zn 0.333 0.667 0.000
Zn 0.667 0.333 0.500
Cd 0.000 0.000 0.198
Cd 0.000 0.000 0.698
Te 0.333 0.667 0.341
Te 0.667 0.333 0.841
O 0.000 0.000 0.039
O 0.000 0.000 0.539

space-group type	P6_3mc

***

Arrangement ii

VASP calculation (PBE) on crystalline ZnCdTeO at its relaxed geometry.

Cell: 5.983 3.982 13.687 Å, 90.00 90.00 90.00°
Fractional coordinates of all 16 atoms:
Zn 0.119 0.250 0.202
Zn 0.381 0.750 0.702
Zn 0.619 0.250 0.298
Zn 0.881 0.750 0.798
Cd 0.241 0.750 0.406
Cd 0.259 0.250 0.906
Cd 0.741 0.750 0.094
Cd 0.759 0.250 0.594
Te 0.240 0.250 0.584
Te 0.260 0.750 0.084
Te 0.740 0.250 0.916
Te 0.760 0.750 0.416
O 0.206 0.750 0.820
O 0.294 0.250 0.320
O 0.706 0.750 0.680
O 0.794 0.250 0.180

space-group type	Pnma

***

arrangement ii is favored, and the nearest alternative lies 0.310 eV/atom above it.

***

Arrangement i

VASP calculation (PBE) on crystalline BePdSO at its relaxed geometry.

Cell: 3.887 3.887 7.534 Å, 90.00 90.00 90.00°
Fractional coordinates of all 8 atoms:
Be 0.250 0.250 0.113
Be 0.750 0.750 0.887
Pd 0.250 0.250 0.412
Pd 0.750 0.750 0.588
S 0.250 0.250 0.851
S 0.750 0.750 0.149
O 0.250 0.750 0.500
O 0.750 0.250 0.500

space-group type	P4/nmm

***

Arrangement ii

VASP calculation (PBE) on crystalline BePdSO at its relaxed geometry.

Cell: 4.648 6.516 7.327 Å, 90.00 90.00 90.00°
Fractional coordinates of all 16 atoms:
Be 0.096 0.200 0.073
Be 0.404 0.800 0.573
Be 0.596 0.300 0.927
Be 0.904 0.700 0.427
Pd 0.050 0.736 0.880
Pd 0.450 0.264 0.380
Pd 0.550 0.764 0.120
Pd 0.950 0.236 0.620
S 0.063 0.855 0.173
S 0.437 0.145 0.673
S 0.563 0.645 0.827
S 0.937 0.355 0.327
O 0.093 0.731 0.592
O 0.407 0.269 0.092
O 0.593 0.769 0.408
O 0.907 0.231 0.908

space-group type	P2_12_12_1

***

arrangement ii is favored, and the nearest alternative lies 0.963 eV/atom above it.

***

Arrangement i

VASP calculation (PBE) on crystalline Pt at its relaxed geometry.

Cell: 2.757 3.881 32.828 Å, 90.00 90.00 90.00°
Fractional coordinates of all 16 atoms:
Pt 0.250 0.250 0.022
Pt 0.250 0.250 0.110
Pt 0.250 0.250 0.198
Pt 0.250 0.250 0.288
Pt 0.250 0.250 0.673
Pt 0.250 0.250 0.759
Pt 0.250 0.250 0.846
Pt 0.250 0.250 0.934
Pt 0.750 0.750 0.066
Pt 0.750 0.750 0.154
Pt 0.750 0.750 0.241
Pt 0.750 0.750 0.327
Pt 0.750 0.750 0.712
Pt 0.750 0.750 0.802
Pt 0.750 0.750 0.890
Pt 0.750 0.750 0.978

space-group type	Pmmn

***

Arrangement ii

VASP calculation (PBE) on crystalline Pt at its relaxed geometry.

Cell: 2.788 2.788 20.795 Å, 90.00 90.00 120.00°
Fractional coordinates of all 9 atoms:
Pt 0.000 0.000 0.000
Pt 0.000 0.000 0.223
Pt 0.000 0.000 0.777
Pt 0.333 0.667 0.444
Pt 0.333 0.667 0.667
Pt 0.333 0.667 0.889
Pt 0.667 0.333 0.111
Pt 0.667 0.333 0.333
Pt 0.667 0.333 0.556

space-group type	R-3m

***

arrangement ii is favored, and the nearest alternative lies 0.123 eV/atom above it.

***

Arrangement i

VASP calculation (PBE) on crystalline Cu2Ag at its relaxed geometry.

Cell: 13.203 13.203 13.203 Å, 167.85 165.02 19.33°
Fractional coordinates of all 9 atoms:
Cu 0.059 0.059 0.000
Cu 0.155 0.155 0.000
Cu 0.393 0.393 0.000
Cu 0.607 0.607 0.000
Cu 0.845 0.845 0.000
Cu 0.941 0.941 0.000
Ag 0.286 0.286 0.000
Ag 0.500 0.500 0.000
Ag 0.714 0.714 0.000

space-group type	Immm

***

Arrangement ii

VASP calculation (PBE) on crystalline Cu2Ag at its relaxed geometry.

Cell: 4.676 4.676 8.079 Å, 106.38 106.38 48.15°
Fractional coordinates of all 9 atoms:
Cu 0.000 0.000 0.000
Cu 0.001 0.001 0.326
Cu 0.335 0.335 0.781
Cu 0.659 0.659 0.217
Cu 0.665 0.665 0.554
Cu 0.666 0.666 0.888
Ag 0.006 0.006 0.674
Ag 0.327 0.327 0.441
Ag 0.330 0.330 0.102

space-group type	Cm

***

Arrangement iii

VASP calculation (PBE) on crystalline Cu2Ag at its relaxed geometry.

Cell: 2.733 2.733 19.550 Å, 90.00 90.00 120.00°
Fractional coordinates of all 9 atoms:
Cu 0.000 0.000 0.000
Cu 0.000 0.000 0.306
Cu 0.000 0.000 0.667
Cu 0.333 0.667 0.205
Cu 0.667 0.333 0.102
Cu 0.667 0.333 0.767
Ag 0.333 0.667 0.551
Ag 0.333 0.667 0.884
Ag 0.667 0.333 0.422

space-group type	P3m1

***

arrangement i is favored, and the nearest alternative lies 0.021 eV/atom above it.

***

Arrangement i

VASP calculation (PBE) on crystalline KLuCoS3 at its relaxed geometry.

Cell: 10.263 3.846 14.079 Å, 90.00 90.00 90.00°
Fractional coordinates of all 24 atoms:
K 0.224 0.250 0.007
K 0.276 0.750 0.507
K 0.724 0.250 0.493
K 0.776 0.750 0.993
Lu 0.017 0.750 0.257
Lu 0.483 0.250 0.757
Lu 0.517 0.750 0.243
Lu 0.983 0.250 0.743
Co 0.234 0.750 0.783
Co 0.266 0.250 0.283
Co 0.734 0.750 0.717
Co 0.766 0.250 0.217
S 0.047 0.750 0.866
S 0.088 0.250 0.377
S 0.236 0.250 0.690
S 0.264 0.750 0.190
S 0.412 0.750 0.877
S 0.453 0.250 0.366
S 0.547 0.750 0.634
S 0.588 0.250 0.123
S 0.736 0.250 0.810
S 0.764 0.750 0.310
S 0.912 0.750 0.623
S 0.953 0.250 0.134

space-group type	Pnma

***

Arrangement ii

VASP calculation (PBE) on crystalline KLuCoS3 at its relaxed geometry.

Cell: 10.666 3.973 11.939 Å, 90.00 90.00 90.00°
Fractional coordinates of all 24 atoms:
K 0.178 0.250 0.006
K 0.322 0.750 0.506
K 0.678 0.250 0.494
K 0.822 0.750 0.994
Lu 0.011 0.250 0.682
Lu 0.489 0.750 0.182
Lu 0.511 0.250 0.818
Lu 0.989 0.750 0.318
Co 0.248 0.250 0.290
Co 0.252 0.750 0.790
Co 0.748 0.250 0.210
Co 0.752 0.750 0.710
S 0.048 0.750 0.830
S 0.103 0.250 0.432
S 0.228 0.750 0.214
S 0.272 0.250 0.714
S 0.397 0.750 0.932
S 0.452 0.250 0.330
S 0.548 0.750 0.670
S 0.603 0.250 0.068
S 0.728 0.750 0.286
S 0.772 0.250 0.786
S 0.897 0.750 0.568
S 0.952 0.250 0.170

space-group type	Pnma

***

arrangement i is favored, and the nearest alternative lies 0.082 eV/atom above it.

***

Arrangement i

VASP calculation (PBE) on crystalline SmTePO at its relaxed geometry.

Cell: 5.770 5.770 5.070 Å, 90.00 90.00 90.00°
Fractional coordinates of all 8 atoms:
Sm 0.250 0.750 0.000
Sm 0.750 0.250 0.000
Te 0.250 0.250 0.499
Te 0.750 0.750 0.501
P 0.250 0.250 0.006
P 0.750 0.750 0.994
O 0.250 0.750 0.500
O 0.750 0.250 0.500

space-group type	P4/nmm

***

Arrangement ii

VASP calculation (PBE) on crystalline SmTePO at its relaxed geometry.

Cell: 4.595 4.595 7.753 Å, 90.00 90.00 90.00°
Fractional coordinates of all 8 atoms:
Sm 0.250 0.250 0.098
Sm 0.750 0.750 0.902
Te 0.250 0.750 0.500
Te 0.750 0.250 0.500
P 0.250 0.250 0.689
P 0.750 0.750 0.311
O 0.250 0.750 0.000
O 0.750 0.250 0.000

space-group type	P4/nmm

***

arrangement ii is favored, and the nearest alternative lies 0.245 eV/atom above it.